! Sm5Er12Pu (GGA-PBE, relaxed); values from VASP
! calculated total energy	-92.064	eV/cell
! ΔE_f	0.034	eV/atom
! DOS at the Fermi energy	1.585	states/eV/atom
! calculated density	8.90	Mg/m³
&SYSTEM
  ibrav = 0, nat = 18, ntyp = 3
/
ATOMIC_SPECIES
Er 167.26 Er.upf
Sm 150.36 Sm.upf
Pu 244.00 Pu.upf
ATOMIC_POSITIONS crystal
Er 0.5004 0.3340 0.5015
Er 0.4996 0.6660 0.4985
Er 0.3290 0.0000 0.9998
Er 0.6710 0.0000 0.0002
Er 0.1657 0.3340 0.5012
Er 0.6689 0.3299 0.9988
Er 0.0013 0.3299 0.9986
Er 0.8355 0.9999 0.5002
Er 0.8343 0.6660 0.4988
Er 0.9987 0.6701 0.0014
Er 0.3311 0.6701 0.0012
Er 0.1645 0.0001 0.4998
Sm 0.6670 0.6658 0.9985
Sm 0.3330 0.3342 0.0015
Sm 0.8350 0.3300 0.4919
Sm 0.1650 0.6701 0.5081
Sm 0.5000 0.0000 0.5000
Pu 0.0000 0.0000 0.0000
CELL_PARAMETERS angstrom
10.5847 -0.0022 -0.0484
5.2925 9.1401 -0.8024
0.0280 -1.5397 5.9241



! AcPd4 (GGA-PBE, relaxed); values from VASP
! calculated total energy	-110.387	eV/cell
! ΔE_f	-0.543	eV/atom
! DOS at the Fermi energy	0.704	states/eV/atom
! relative energy among the computed polymorphs	0.0324	eV per atom
! calculated density	10.53	Mg/m³
&SYSTEM
  ibrav = 0, nat = 20, ntyp = 2
/
ATOMIC_SPECIES
Pd 106.42 Pd.upf
Ac 227.00 Ac.upf
ATOMIC_POSITIONS crystal
Pd 0.2064 0.0000 0.0000
Pd 0.2500 0.7500 0.5000
Pd 0.5000 0.7500 0.2500
Pd 0.3510 0.3510 0.0000
Pd 0.7936 0.7936 0.7936
Pd 0.7500 0.5000 0.2500
Pd 0.0000 0.0000 0.2064
Pd 0.5000 0.2500 0.7500
Pd 0.2500 0.5000 0.7500
Pd 0.0000 0.6490 0.6490
Pd 0.3510 0.0000 0.3510
Pd 0.6490 0.0000 0.6490
Pd 0.6490 0.6490 0.0000
Pd 0.0000 0.2064 0.0000
Pd 0.7500 0.2500 0.5000
Pd 0.0000 0.3510 0.3510
Ac 0.0000 0.0000 0.5547
Ac 0.5547 0.0000 0.0000
Ac 0.4453 0.4453 0.4453
Ac 0.0000 0.5547 0.0000
CELL_PARAMETERS angstrom
-1.7128 2.6040 7.4938
-6.8119 -0.2323 -4.4063
3.2238 -7.4381 0.3914



! MgFeW2 (GGA-PBE, relaxed); values from VASP
! calculated total energy	-34.298	eV/cell
! ΔE_f	0.416	eV/atom
! DOS at the Fermi energy	0.907	states/eV/atom
! calculated density	12.12	Mg/m³
&SYSTEM
  ibrav = 0, nat = 4, ntyp = 3
/
ATOMIC_SPECIES
Fe 55.84 Fe.upf
Mg 24.30 Mg.upf
W 183.84 W.upf
ATOMIC_POSITIONS crystal
Fe 0.5000 0.0000 0.5000
Mg 0.0000 0.5000 0.5000
W 0.0000 0.0000 0.0000
W 0.5000 0.5000 0.0000
CELL_PARAMETERS angstrom
-1.0947 -1.9366 -2.3678
1.9698 -3.2994 1.7878
-3.6474 -0.8758 2.4026



! Li2BePb (GGA-PBE, relaxed); values from VASP
! calculated total energy	-10.775	eV/cell
! ΔE_f	0.122	eV/atom
! DOS at the Fermi energy	0.229	states/eV/atom
! relative energy among the computed polymorphs	0.1380	eV per atom
! calculated density	5.46	Mg/m³
&SYSTEM
  ibrav = 0, nat = 4, ntyp = 3
/
ATOMIC_SPECIES
Li 6.94 Li.upf
Be 9.01 Be.upf
Pb 207.20 Pb.upf
ATOMIC_POSITIONS crystal
Li 0.0110 0.0110 0.9964
Li 0.2533 0.2533 0.2239
Be 0.7474 0.7474 0.7513
Pb 0.4882 0.4882 0.5284
CELL_PARAMETERS angstrom
-2.8958 -3.6684 -0.3507
-0.7254 -4.0829 2.1839
-3.5339 1.1045 3.2068



! Tb4PmRu2 (GGA-PBE, relaxed); values from VASP
! calculated total energy	-86.727	eV/cell
! ΔE_f	-0.220	eV/atom
! DOS at the Fermi energy	0.954	states/eV/atom
! calculated density	8.84	Mg/m³
&SYSTEM
  ibrav = 0, nat = 14, ntyp = 3
/
ATOMIC_SPECIES
Tb 158.93 Tb.upf
Pm 145.00 Pm.upf
Ru 101.07 Ru.upf
ATOMIC_POSITIONS crystal
Tb 0.5010 0.4147 0.7555
Tb 0.2500 0.2494 0.3236
Tb 0.2500 0.9805 0.6214
Tb 0.7500 0.0195 0.3786
Tb 0.9990 0.4147 0.7555
Tb 0.0010 0.5853 0.2445
Tb 0.4990 0.5853 0.2445
Tb 0.7500 0.7506 0.6764
Pm 0.2500 0.8362 0.9769
Pm 0.7500 0.1638 0.0231
Ru 0.7500 0.7379 0.0212
Ru 0.2500 0.2621 0.9788
Ru 0.7500 0.3727 0.4129
Ru 0.2500 0.6273 0.5871
CELL_PARAMETERS angstrom
-1.6393 6.1770 0.8545
-7.6108 -2.1547 0.9751
3.9676 0.1264 6.6974



! PuPdAu (GGA-PBE, relaxed); values from VASP
! calculated total energy	-23.956	eV/cell
! ΔE_f	-0.385	eV/atom
! DOS at the Fermi energy	4.229	states/eV/atom
! relative energy among the computed polymorphs	0.0679	eV per atom
! calculated density	14.50	Mg/m³
&SYSTEM
  ibrav = 0, nat = 3, ntyp = 3
/
ATOMIC_SPECIES
Au 196.97 Au.upf
Pu 244.00 Pu.upf
Pd 106.42 Pd.upf
ATOMIC_POSITIONS crystal
Au 0.2908 0.2908 0.5816
Pu 0.6127 0.6127 0.2255
Pd 0.9465 0.9465 0.8929
CELL_PARAMETERS angstrom
-2.3820 2.3496 -1.4220
-2.2939 -2.7372 -0.6803
0.3674 0.7829 5.3254



! Sr2LiBiAu6 (GGA-PBE, relaxed); values from VASP
! calculated total energy	-33.426	eV/cell
! ΔE_f	-0.460	eV/atom
! DOS at the Fermi energy	0.303	states/eV/atom
! calculated density	10.35	Mg/m³
&SYSTEM
  ibrav = 0, nat = 10, ntyp = 4
/
ATOMIC_SPECIES
Au 196.97 Au.upf
Li 6.94 Li.upf
Sr 87.62 Sr.upf
Bi 208.98 Bi.upf
ATOMIC_POSITIONS crystal
Au 0.7486 0.7727 0.9553
Au 0.7485 0.2717 0.9554
Au 0.4346 0.2641 0.4719
Au 0.2515 0.7283 0.0446
Au 0.2514 0.2273 0.0447
Au 0.5654 0.7359 0.5281
Li 0.5000 0.5000 0.0000
Sr 0.7783 0.2501 0.5001
Sr 0.2217 0.7499 0.4999
Bi 0.0000 0.0000 0.0000
CELL_PARAMETERS angstrom
9.6537 0.0312 0.3321
-0.0168 5.5235 -0.0441
4.9311 2.8139 4.8798



! SrCa3Hg3 (GGA-PBE, relaxed); values from VASP
! calculated total energy	-18.621	eV/cell
! ΔE_f	-0.103	eV/atom
! DOS at the Fermi energy	0.725	states/eV/atom
! relative energy among the computed polymorphs	0.3083	eV per atom
! calculated density	4.55	Mg/m³
&SYSTEM
  ibrav = 0, nat = 14, ntyp = 3
/
ATOMIC_SPECIES
Ca 40.08 Ca.upf
Hg 200.59 Hg.upf
Sr 87.62 Sr.upf
ATOMIC_POSITIONS crystal
Ca 0.2500 0.0000 0.5000
Ca 0.7500 0.0000 0.5000
Ca 0.0000 0.5000 0.7500
Ca 0.5000 0.7500 0.0000
Ca 0.0000 0.5000 0.2500
Ca 0.5000 0.2500 0.0000
Hg 0.0000 0.2500 0.5000
Hg 0.5000 0.0000 0.7500
Hg 0.0000 0.7500 0.5000
Hg 0.7500 0.5000 0.0000
Hg 0.2500 0.5000 0.0000
Hg 0.5000 0.0000 0.2500
Sr 0.5000 0.5000 0.5000
Sr 0.0000 0.0000 0.0000
CELL_PARAMETERS angstrom
-6.1683 5.3491 -1.9428
-4.3382 -2.5652 6.7108
3.6834 5.9365 4.6504



! Sr2IrW (GGA-PBE, relaxed); values from VASP
! calculated total energy	-21.296	eV/cell
! ΔE_f	0.970	eV/atom
! DOS at the Fermi energy	0.679	states/eV/atom
! relative energy among the computed polymorphs	0.6364	eV per atom
! calculated density	10.21	Mg/m³
&SYSTEM
  ibrav = 0, nat = 4, ntyp = 3
/
ATOMIC_SPECIES
Ir 192.22 Ir.upf
W 183.84 W.upf
Sr 87.62 Sr.upf
ATOMIC_POSITIONS crystal
Ir 0.5000 0.7500 0.7500
W 0.5000 0.2500 0.2500
Sr 0.0000 0.5396 0.5052
Sr 0.0000 0.9604 0.9948
CELL_PARAMETERS angstrom
5.0526 0.0000 0.0000
0.0000 3.1376 -0.0350
0.0000 2.6928 5.6263



! CeSnPb2 (GGA-PBE, relaxed); values from VASP
! calculated total energy	-16.696	eV/cell
! ΔE_f	0.164	eV/atom
! DOS at the Fermi energy	1.598	states/eV/atom
! relative energy among the computed polymorphs	0.5676	eV per atom
! calculated density	8.86	Mg/m³
&SYSTEM
  ibrav = 0, nat = 4, ntyp = 3
/
ATOMIC_SPECIES
Sn 118.71 Sn.upf
Pb 207.20 Pb.upf
Ce 140.12 Ce.upf
ATOMIC_POSITIONS crystal
Sn 0.5000 0.5000 0.5000
Pb 0.9092 0.9092 0.2723
Pb 0.0908 0.0908 0.7277
Ce 0.0000 0.0000 0.0000
CELL_PARAMETERS angstrom
-2.3293 2.5382 0.4751
-0.9969 0.8653 3.2174
7.8070 9.2054 1.8227



! AcThCd4 (GGA-PBE, relaxed); values from VASP
! calculated total energy	-16.298	eV/cell
! ΔE_f	-0.185	eV/atom
! DOS at the Fermi energy	0.910	states/eV/atom
! relative energy among the computed polymorphs	0.0478	eV per atom
! calculated density	9.40	Mg/m³
&SYSTEM
  ibrav = 0, nat = 6, ntyp = 3
/
ATOMIC_SPECIES
Cd 112.41 Cd.upf
Th 232.04 Th.upf
Ac 227.00 Ac.upf
ATOMIC_POSITIONS crystal
Cd 0.1230 0.6257 0.6257
Cd 0.6257 0.1230 0.6257
Cd 0.6257 0.6257 0.6257
Cd 0.6257 0.6257 0.1230
Th 0.0000 0.0000 0.0000
Ac 0.2500 0.2500 0.2500
CELL_PARAMETERS angstrom
6.1011 0.0000 0.0000
3.0505 5.2837 0.0000
3.0505 1.7612 4.9815



! KCo2TcAu (GGA-PBE, relaxed); values from VASP
! calculated total energy	-21.461	eV/cell
! ΔE_f	1.498	eV/atom
! DOS at the Fermi energy	1.242	states/eV/atom
! calculated density	6.09	Mg/m³
&SYSTEM
  ibrav = 0, nat = 5, ntyp = 4
/
ATOMIC_SPECIES
Co 58.93 Co.upf
K 39.10 K.upf
Tc 98.00 Tc.upf
Au 196.97 Au.upf
ATOMIC_POSITIONS crystal
Co 0.5000 0.0000 0.0000
Co 0.0000 0.0000 0.5000
K 0.5000 0.5000 0.5000
Tc 0.0000 0.5000 0.0000
Au 0.0000 0.0000 0.0000
CELL_PARAMETERS angstrom
4.8845 0.0000 0.0000
0.0000 5.1689 0.0000
0.0000 0.0000 4.8845



! YHo12Ni6 (GGA-PBE, relaxed); values from VASP
! calculated total energy	-100.774	eV/cell
! ΔE_f	-0.247	eV/atom
! DOS at the Fermi energy	1.220	states/eV/atom
! calculated density	8.55	Mg/m³
&SYSTEM
  ibrav = 0, nat = 19, ntyp = 3
/
ATOMIC_SPECIES
Ho 164.93 Ho.upf
Ni 58.69 Ni.upf
Y 88.91 Y.upf
ATOMIC_POSITIONS crystal
Ho 0.5046 0.8157 0.6889
Ho 0.4954 0.1843 0.3111
Ho 0.1268 0.8157 0.3111
Ho 0.3111 0.4954 0.1843
Ho 0.3111 0.1268 0.8157
Ho 0.8157 0.6889 0.5046
Ho 0.8157 0.3111 0.1268
Ho 0.6889 0.5046 0.8157
Ho 0.1843 0.6889 0.8732
Ho 0.6889 0.8732 0.1843
Ho 0.8732 0.1843 0.6889
Ho 0.1843 0.3111 0.4954
Ni 0.5000 0.1236 0.6236
Ni 0.6236 0.5000 0.1236
Ni 0.5000 0.8764 0.3764
Ni 0.3764 0.5000 0.8764
Ni 0.8764 0.3764 0.5000
Ni 0.1236 0.6236 0.5000
Y 0.0000 0.0000 0.0000
CELL_PARAMETERS angstrom
-0.7563 0.4497 -8.4380
6.3658 -5.2419 1.9933
-7.2284 -2.9332 3.3348



! DyPaH2 (GGA-PBE, relaxed); values from VASP
! calculated total energy	-21.732	eV/cell
! DOS at the Fermi energy	1.150	states/eV/atom
! calculated density	11.15	Mg/m³
&SYSTEM
  ibrav = 0, nat = 4, ntyp = 3
/
ATOMIC_SPECIES
Dy 162.50 Dy.upf
H 1.01 H.upf
Pa 231.04 Pa.upf
ATOMIC_POSITIONS crystal
Dy 0.0000 0.0000 0.0000
H 0.2488 0.2488 0.2537
H 0.7512 0.7512 0.7463
Pa 0.5000 0.5000 0.5000
CELL_PARAMETERS angstrom
-2.1413 -2.4043 -1.1460
0.1841 -1.0442 -3.2489
3.1565 -5.2769 0.0774



! VReMoW3 (GGA-PBE, relaxed); values from VASP
! calculated total energy	-143.393	eV/cell
! ΔE_f	-0.073	eV/atom
! DOS at the Fermi energy	0.593	states/eV/atom
! calculated density	15.79	Mg/m³
&SYSTEM
  ibrav = 0, nat = 12, ntyp = 4
/
ATOMIC_SPECIES
W 183.84 W.upf
Re 186.21 Re.upf
V 50.94 V.upf
Mo 95.94 Mo.upf
ATOMIC_POSITIONS crystal
W 0.2500 0.1262 0.9571
W 0.2500 0.6244 0.7901
W 0.7500 0.8738 0.0429
W 0.7500 0.3756 0.2099
W 0.2500 0.6291 0.4584
W 0.7500 0.3709 0.5416
Re 0.2500 0.1210 0.2946
Re 0.7500 0.8790 0.7054
V 0.7500 0.8787 0.3781
V 0.2500 0.1213 0.6219
Mo 0.7500 0.3711 0.8715
Mo 0.2500 0.6289 0.1285
CELL_PARAMETERS angstrom
-2.3651 -1.2319 1.6602
-2.1178 -3.5557 -5.6553
6.2030 -4.3630 5.5991



! Mn2ICl2 (GGA-PBE, relaxed); values from VASP
! calculated total energy	-46.787	eV/cell
! E_form (uncorrected)	0.2	eV/f.u.
! DOS at the Fermi energy	0.281	states/eV/atom
! relative energy among the computed polymorphs	0.0000	eV per atom
! calculated density	3.73	Mg/m³
&SYSTEM
  ibrav = 0, nat = 10, ntyp = 3
/
ATOMIC_SPECIES
Cl 35.45 Cl.upf
I 126.90 I.upf
Mn 54.94 Mn.upf
ATOMIC_POSITIONS crystal
Cl 0.8797 0.6203 0.0000
Cl 0.3797 0.8797 0.0000
Cl 0.6203 0.1203 0.0000
Cl 0.1203 0.3797 0.0000
I 0.5000 0.5000 0.0000
I 0.0000 0.0000 0.0000
Mn 0.3998 0.1002 0.5000
Mn 0.6002 0.8998 0.5000
Mn 0.1002 0.6002 0.5000
Mn 0.8998 0.3998 0.5000
CELL_PARAMETERS angstrom
9.1791 0.0000 0.0000
0.0000 9.1791 0.0000
0.0000 0.0000 3.2528



! CaZnW (GGA-PBE, relaxed); values from VASP
! calculated total energy	-12.656	eV/cell
! ΔE_f	1.191	eV/atom
! DOS at the Fermi energy	1.149	states/eV/atom
! relative energy among the computed polymorphs	0.6931	eV per atom
! calculated density	6.97	Mg/m³
&SYSTEM
  ibrav = 0, nat = 3, ntyp = 3
/
ATOMIC_SPECIES
Zn 65.41 Zn.upf
Ca 40.08 Ca.upf
W 183.84 W.upf
ATOMIC_POSITIONS crystal
Zn 0.7500 0.7500 0.7500
Ca 0.0000 0.0000 0.0000
W 0.5000 0.5000 0.5000
CELL_PARAMETERS angstrom
-0.7875 -4.5225 0.3229
3.5066 -2.9697 -0.2489
1.3335 -2.3056 3.7528



! BiOs3Ru (GGA-PBE, relaxed); values from VASP
! calculated total energy	-36.744	eV/cell
! ΔE_f	2.020	eV/atom
! DOS at the Fermi energy	1.247	states/eV/atom
! relative energy among the computed polymorphs	0.0000	eV per atom
! calculated density	13.93	Mg/m³
&SYSTEM
  ibrav = 0, nat = 5, ntyp = 3
/
ATOMIC_SPECIES
Os 190.23 Os.upf
Ru 101.07 Ru.upf
Bi 208.98 Bi.upf
ATOMIC_POSITIONS crystal
Os 0.5000 0.0000 0.0000
Os 0.0000 0.5000 0.0000
Os 0.0000 0.0000 0.5000
Ru 0.0000 0.0000 0.0000
Bi 0.5000 0.5000 0.5000
CELL_PARAMETERS angstrom
4.7177 0.0000 0.0000
0.0000 4.7177 0.0000
0.0000 0.0000 4.7177



! Ac2Dy2Mg15 (GGA-PBE, relaxed); values from VASP
! calculated total energy	-42.085	eV/cell
! ΔE_f	-0.039	eV/atom
! DOS at the Fermi energy	0.770	states/eV/atom
! calculated density	3.73	Mg/m³
&SYSTEM
  ibrav = 0, nat = 19, ntyp = 3
/
ATOMIC_SPECIES
Dy 162.50 Dy.upf
Mg 24.30 Mg.upf
Ac 227.00 Ac.upf
ATOMIC_POSITIONS crystal
Dy 0.0991 0.0991 0.0991
Dy 0.9009 0.9009 0.9009
Mg 0.0000 0.5000 0.0000
Mg 0.3541 0.3541 0.8480
Mg 0.0000 0.2915 0.7085
Mg 0.8480 0.3541 0.3541
Mg 0.6459 0.6459 0.1520
Mg 0.5000 0.0000 0.0000
Mg 0.7085 0.2915 0.0000
Mg 0.3541 0.8480 0.3541
Mg 0.1520 0.6459 0.6459
Mg 0.0000 0.7085 0.2915
Mg 0.6459 0.1520 0.6459
Mg 0.7085 0.0000 0.2915
Mg 0.2915 0.0000 0.7085
Mg 0.0000 0.0000 0.5000
Mg 0.2915 0.7085 0.0000
Ac 0.3374 0.3374 0.3374
Ac 0.6626 0.6626 0.6626
CELL_PARAMETERS angstrom
8.0356 -0.0645 -0.0574
0.9786 7.9761 -0.0574
0.9786 0.8589 7.9299



! La2MgP3Rh4 (GGA-PBE, relaxed); values from VASP
! calculated total energy	-67.384	eV/cell
! ΔE_f	-1.030	eV/atom
! DOS at the Fermi energy	0.454	states/eV/atom
! calculated density	7.61	Mg/m³
&SYSTEM
  ibrav = 0, nat = 10, ntyp = 4
/
ATOMIC_SPECIES
Rh 102.91 Rh.upf
P 30.97 P.upf
La 138.91 La.upf
Mg 24.30 Mg.upf
ATOMIC_POSITIONS crystal
Rh 0.0000 0.0000 0.0000
Rh 0.5000 0.0000 0.6511
Rh 0.0000 0.5000 0.3489
Rh 0.5000 0.5000 0.0000
P 0.0000 0.5000 0.1280
P 0.5000 0.0000 0.8720
P 0.0000 0.0000 0.5000
La 0.5000 0.0000 0.2458
La 0.0000 0.5000 0.7542
Mg 0.5000 0.5000 0.5000
CELL_PARAMETERS angstrom
4.0715 0.0000 0.0000
0.0000 4.0715 0.0000
0.0000 0.0000 10.6226



! KCaNb (GGA-PBE, relaxed); values from VASP
! calculated total energy	-20.682	eV/cell
! ΔE_f	0.943	eV/atom
! DOS at the Fermi energy	0.550	states/eV/atom
! relative energy among the computed polymorphs	0.6619	eV per atom
! calculated density	2.31	Mg/m³
&SYSTEM
  ibrav = 0, nat = 6, ntyp = 3
/
ATOMIC_SPECIES
Ca 40.08 Ca.upf
K 39.10 K.upf
Nb 92.91 Nb.upf
ATOMIC_POSITIONS crystal
Ca 0.3333 0.6667 0.7150
Ca 0.3333 0.6667 0.2850
K 0.6667 0.3333 0.5000
K 0.6667 0.3333 0.0000
Nb 0.0000 0.0000 0.6325
Nb 0.0000 0.0000 0.3675
CELL_PARAMETERS angstrom
-0.7607 5.6467 -1.6531
-0.3494 -4.3425 -4.0271
-7.9734 -0.6625 1.4061



! KMnAs (GGA-PBE, relaxed); values from VASP
! calculated total energy	-31.551	eV/cell
! ΔE_f	-0.286	eV/atom
! DOS at the Fermi energy	0.721	states/eV/atom
! calculated density	3.45	Mg/m³
&SYSTEM
  ibrav = 0, nat = 6, ntyp = 3
/
ATOMIC_SPECIES
K 39.10 K.upf
As 74.92 As.upf
Mn 54.94 Mn.upf
ATOMIC_POSITIONS crystal
K 0.5000 0.0000 0.6946
K 0.0000 0.5000 0.3054
As 0.5000 0.0000 0.1331
As 0.0000 0.5000 0.8669
Mn 0.5000 0.5000 0.0000
Mn 0.0000 0.0000 0.0000
CELL_PARAMETERS angstrom
3.8961 0.0000 0.0000
0.0000 3.8961 0.0000
0.0000 0.0000 10.7135



! TiAsHRh2 (GGA-PBE, relaxed); values from VASP
! calculated total energy	-32.767	eV/cell
! DOS at the Fermi energy	0.710	states/eV/atom
! calculated density	8.88	Mg/m³
&SYSTEM
  ibrav = 0, nat = 5, ntyp = 4
/
ATOMIC_SPECIES
Rh 102.91 Rh.upf
As 74.92 As.upf
Ti 47.87 Ti.upf
H 1.01 H.upf
ATOMIC_POSITIONS crystal
Rh 0.0000 0.5000 0.0000
Rh 0.5000 0.0000 0.0000
As 0.5000 0.5000 0.5000
Ti 0.0000 0.0000 0.5000
H 0.0000 0.0000 0.0000
CELL_PARAMETERS angstrom
-2.6363 2.6325 1.1282
-1.8249 -2.7258 2.0959
2.3073 0.9309 3.2196